# TlFe2BI meta-GGA SCAN single point on PBEsol structure
data_TlFe2BI
_cell_length_a 4.711
_cell_length_b 4.711
_cell_length_c 4.491
_cell_angle_alpha 90.00
_cell_angle_beta 90.00
_cell_angle_gamma 90.00
_symmetry_space_group_name_H-M 'P 4/m m m'
_symmetry_Int_Tables_number 123
_symmetry_space_group_name_Hall '-P 4 2'
loop_
_atom_site_label
_atom_site_type_symbol
_atom_site_fract_x
_atom_site_fract_y
_atom_site_fract_z
Tl1 Tl 0.000 0.000 0.000
Fe1 Fe 0.000 0.500 0.500
B1 B 0.500 0.500 0.000
I1 I 0.500 0.500 0.500
# * ΔE_f (raw): 9.27 eV per formula unit

***

# Tl2FeBI meta-GGA SCAN single point on PBEsol structure
data_Tl2FeBI
_cell_length_a 6.114
_cell_length_b 6.114
_cell_length_c 4.433
_cell_angle_alpha 90.00
_cell_angle_beta 90.00
_cell_angle_gamma 90.00
_symmetry_space_group_name_H-M 'P 4/m m m'
_symmetry_Int_Tables_number 123
_symmetry_space_group_name_Hall '-P 4 2'
loop_
_atom_site_label
_atom_site_type_symbol
_atom_site_fract_x
_atom_site_fract_y
_atom_site_fract_z
Tl1 Tl 0.000 0.500 0.000
Fe1 Fe 0.000 0.000 0.500
B1 B 0.500 0.500 0.500
I1 I 0.500 0.500 0.000
# * ΔE_f (raw): 8.52 eV per formula unit

***

Below is a crystal of In3FeB relaxed with PBEsol, with properties calculated at the meta-GGA SCAN level.

```
data_In3FeB
_cell_length_a 4.663
_cell_length_b 4.663
_cell_length_c 4.663
_cell_angle_alpha 90.00
_cell_angle_beta 90.00
_cell_angle_gamma 90.00
_symmetry_space_group_name_H-M 'P m -3 m'
_symmetry_Int_Tables_number 221
_symmetry_space_group_name_Hall '-P 4 2 3'
loop_
_atom_site_label
_atom_site_type_symbol
_atom_site_fract_x
_atom_site_fract_y
_atom_site_fract_z
In1 In 0.000 0.000 0.500
Fe1 Fe 0.500 0.500 0.500
B1 B 0.000 0.000 0.000
```

***

Below is a crystal of InFeB2P relaxed with PBEsol, with properties calculated at the meta-GGA SCAN level.

```
data_InFeB2P
_cell_length_a 4.202
_cell_length_b 4.202
_cell_length_c 5.297
_cell_angle_alpha 90.00
_cell_angle_beta 90.00
_cell_angle_gamma 90.00
_symmetry_space_group_name_H-M 'P 4/m m m'
_symmetry_Int_Tables_number 123
_symmetry_space_group_name_Hall '-P 4 2'
loop_
_atom_site_label
_atom_site_type_symbol
_atom_site_fract_x
_atom_site_fract_y
_atom_site_fract_z
In1 In 0.000 0.000 0.000
Fe1 Fe 0.500 0.500 0.500
B1 B 0.000 0.500 0.000
P1 P 0.000 0.000 0.500
```

***

Below is a crystal of InFe2BRh relaxed with PBEsol, with properties calculated at the meta-GGA SCAN level.

```
data_InFe2BRh
_cell_length_a 3.889
_cell_length_b 3.889
_cell_length_c 4.094
_cell_angle_alpha 90.00
_cell_angle_beta 90.00
_cell_angle_gamma 90.00
_symmetry_space_group_name_H-M 'P 4/m m m'
_symmetry_Int_Tables_number 123
_symmetry_space_group_name_Hall '-P 4 2'
loop_
_atom_site_label
_atom_site_type_symbol
_atom_site_fract_x
_atom_site_fract_y
_atom_site_fract_z
In1 In 0.000 0.000 0.000
Fe1 Fe 0.000 0.500 0.500
B1 B 0.500 0.500 0.500
Rh1 Rh 0.500 0.500 0.000
```

***

Below is a crystal of Fe9B4Ir3 relaxed with PBEsol, with properties calculated at the meta-GGA SCAN level.

```
data_Fe9B4Ir3
_cell_length_a 4.389
_cell_length_b 6.797
_cell_length_c 5.387
_cell_angle_alpha 90.00
_cell_angle_beta 90.32
_cell_angle_gamma 90.00
_symmetry_space_group_name_H-M 'P 1 m 1'
_symmetry_Int_Tables_number 6
_symmetry_space_group_name_Hall 'P -2y'
loop_
_atom_site_label
_atom_site_type_symbol
_atom_site_fract_x
_atom_site_fract_y
_atom_site_fract_z
Fe1 Fe 0.000 0.000 0.000
Fe2 Fe 0.015 0.303 0.707
Fe3 Fe 0.235 0.304 0.204
Fe4 Fe 0.520 0.186 0.852
Fe5 Fe 0.736 0.190 0.343
B1 B 0.284 0.500 0.909
B2 B 0.452 0.000 0.145
B3 B 0.786 0.000 0.644
B4 B 0.966 0.500 0.413
Ir1 Ir 0.243 0.000 0.501
Ir2 Ir 0.504 0.500 0.557
Ir3 Ir 0.749 0.500 0.051
```

***

Below is a crystal of Mg2FeB2Ir5 relaxed with PBEsol, with properties calculated at the meta-GGA SCAN level.

```
data_Mg2FeB2Ir5
_cell_length_a 9.362
_cell_length_b 9.362
_cell_length_c 2.895
_cell_angle_alpha 90.00
_cell_angle_beta 90.00
_cell_angle_gamma 90.00
_symmetry_space_group_name_H-M 'P 4/m b m'
_symmetry_Int_Tables_number 127
_symmetry_space_group_name_Hall '-P 4 2ab'
loop_
_atom_site_label
_atom_site_type_symbol
_atom_site_fract_x
_atom_site_fract_y
_atom_site_fract_z
Mg1 Mg 0.177 0.323 0.000
Fe1 Fe 0.000 0.000 0.000
B1 B 0.126 0.626 0.000
Ir1 Ir 0.000 0.500 0.500
Ir2 Ir 0.070 0.787 0.500
```

***

Below is a crystal of Zr2FeBIr relaxed with PBEsol, with properties calculated at the meta-GGA SCAN level.

```
data_Zr2FeBIr
_cell_length_a 4.915
_cell_length_b 4.915
_cell_length_c 4.482
_cell_angle_alpha 90.00
_cell_angle_beta 90.00
_cell_angle_gamma 90.00
_symmetry_space_group_name_H-M 'P 4/m m m'
_symmetry_Int_Tables_number 123
_symmetry_space_group_name_Hall '-P 4 2'
loop_
_atom_site_label
_atom_site_type_symbol
_atom_site_fract_x
_atom_site_fract_y
_atom_site_fract_z
Zr1 Zr 0.000 0.500 0.000
Fe1 Fe 0.000 0.000 0.500
B1 B 0.500 0.500 0.500
Ir1 Ir 0.000 0.000 0.000
```

***

Below is a crystal of LaMgFeB2 relaxed with PBEsol, with properties calculated at the meta-GGA SCAN level.

```
data_LaMgFeB2
_cell_length_a 4.700
_cell_length_b 4.700
_cell_length_c 4.589
_cell_angle_alpha 90.00
_cell_angle_beta 90.00
_cell_angle_gamma 90.00
_symmetry_space_group_name_H-M 'P 4/m m m'
_symmetry_Int_Tables_number 123
_symmetry_space_group_name_Hall '-P 4 2'
loop_
_atom_site_label
_atom_site_type_symbol
_atom_site_fract_x
_atom_site_fract_y
_atom_site_fract_z
La1 La 0.000 0.000 0.000
Mg1 Mg 0.500 0.500 0.500
Fe1 Fe 0.000 0.000 0.500
B1 B 0.000 0.500 0.000
```

***

Below is a crystal of LiFe2B relaxed with PBEsol, with properties calculated at the meta-GGA SCAN level.

```
data_LiFe2B
_cell_length_a 5.157
_cell_length_b 5.157
_cell_length_c 5.157
_cell_angle_alpha 90.00
_cell_angle_beta 90.00
_cell_angle_gamma 90.00
_symmetry_space_group_name_H-M 'F m -3 m'
_symmetry_Int_Tables_number 225
_symmetry_space_group_name_Hall '-F 4 2 3'
loop_
_atom_site_label
_atom_site_type_symbol
_atom_site_fract_x
_atom_site_fract_y
_atom_site_fract_z
Li1 Li 0.000 0.000 0.000
Fe1 Fe 0.250 0.250 0.250
B1 B 0.000 0.000 0.500
```

***

# Li5Fe6B6O18 meta-GGA SCAN single point on PBEsol structure
data_Li5Fe6B6O18
_cell_length_a 16.257
_cell_length_b 5.880
_cell_length_c 8.186
_cell_angle_alpha 90.00
_cell_angle_beta 120.07
_cell_angle_gamma 90.00
_symmetry_space_group_name_H-M 'C 1 m 1'
_symmetry_Int_Tables_number 8
_symmetry_space_group_name_Hall 'C -2y'
loop_
_atom_site_label
_atom_site_type_symbol
_atom_site_fract_x
_atom_site_fract_y
_atom_site_fract_z
Li1 Li 0.000 0.000 0.000
Li2 Li 0.002 0.500 0.002
Li3 Li 0.158 0.500 0.589
Li4 Li 0.295 0.500 0.277
Li5 Li 0.297 0.000 0.271
Fe1 Fe 0.148 0.245 0.919
Fe2 Fe 0.329 0.243 0.648
Fe3 Fe 0.477 0.259 0.301
B1 B 0.152 0.251 0.285
B2 B 0.317 0.500 0.956
B3 B 0.322 0.000 0.965
B4 B 0.480 0.500 0.621
B5 B 0.485 0.000 0.622
O1 O 0.015 0.000 0.500
O2 O 0.024 0.500 0.506
O3 O 0.042 0.000 0.816
O4 O 0.044 0.500 0.817
O5 O 0.053 0.249 0.178
O6 O 0.197 0.260 0.478
O7 O 0.205 0.248 0.194
O8 O 0.219 0.500 0.866
O9 O 0.226 0.000 0.889
O10 O 0.361 0.500 0.848
O11 O 0.363 0.000 0.852
O12 O 0.371 0.500 0.151
O13 O 0.381 0.000 0.160
O14 O 0.382 0.500 0.550
O15 O 0.386 0.000 0.546
# * ΔE_f (raw): -74.58 eV per formula unit

***

# Li2FeB2O6 meta-GGA SCAN single point on PBEsol structure
data_Li2FeB2O6
_cell_length_a 4.6142
_cell_length_b 4.6142
_cell_length_c 14.5923
_cell_angle_alpha 90.00
_cell_angle_beta 90.00
_cell_angle_gamma 120.00
_symmetry_space_group_name_H-M 'R -3'
_symmetry_Int_Tables_number 148
_symmetry_space_group_name_Hall '-R 3'
loop_
_atom_site_label
_atom_site_type_symbol
_atom_site_fract_x
_atom_site_fract_y
_atom_site_fract_z
Li1 Li 0.0000 0.0000 0.1915
Fe1 Fe 0.0000 0.0000 0.0000
B1 B 0.0000 0.0000 0.4044
O1 O 0.0168 0.6292 0.2572
# * ΔE_f (raw): -24.53 eV per formula unit

***

# Li4FeB2O6 meta-GGA SCAN single point on PBEsol structure
data_Li4FeB2O6
_cell_length_a 3.194
_cell_length_b 9.309
_cell_length_c 8.399
_cell_angle_alpha 90.00
_cell_angle_beta 110.66
_cell_angle_gamma 90.00
_symmetry_space_group_name_H-M 'P 1 21/c 1'
_symmetry_Int_Tables_number 14
_symmetry_space_group_name_Hall '-P 2ybc'
loop_
_atom_site_label
_atom_site_type_symbol
_atom_site_fract_x
_atom_site_fract_y
_atom_site_fract_z
Li1 Li 0.018 0.211 0.003
Li2 Li 0.330 0.558 0.333
Fe1 Fe 0.500 0.000 0.500
B1 B 0.285 0.197 0.766
O1 O 0.146 0.109 0.619
O2 O 0.245 0.156 0.248
O3 O 0.445 0.133 0.922
# * ΔE_f (raw): -29.79 eV per formula unit

***

# Li9Fe4B8O24 meta-GGA SCAN single point on PBEsol structure
data_Li9Fe4B8O24
_cell_length_a 5.150
_cell_length_b 8.856
_cell_length_c 9.443
_cell_angle_alpha 89.72
_cell_angle_beta 87.70
_cell_angle_gamma 89.55
_symmetry_space_group_name_H-M 'P 1'
_symmetry_Int_Tables_number 1
_symmetry_space_group_name_Hall 'P 1'
loop_
_atom_site_label
_atom_site_type_symbol
_atom_site_fract_x
_atom_site_fract_y
_atom_site_fract_z
Li1 Li 0.000 0.000 0.000
Li2 Li 0.006 0.325 0.491
Li3 Li 0.147 0.831 0.243
Li4 Li 0.160 0.501 0.728
Li5 Li 0.483 0.469 0.960
Li6 Li 0.491 0.478 0.487
Li7 Li 0.518 0.139 0.994
Li8 Li 0.656 0.654 0.734
Li9 Li 0.666 0.979 0.238
Fe1 Fe 0.195 0.174 0.751
Fe2 Fe 0.463 0.805 0.485
Fe3 Fe 0.690 0.306 0.246
Fe4 Fe 0.970 0.678 0.988
B1 B 0.162 0.160 0.232
B2 B 0.163 0.836 0.747
B3 B 0.496 0.144 0.494
B4 B 0.501 0.812 0.998
B5 B 0.663 0.646 0.246
B6 B 0.664 0.315 0.745
B7 B 0.995 0.338 0.985
B8 B 0.997 0.656 0.497
O1 O 0.024 0.035 0.210
O2 O 0.025 0.707 0.792
O3 O 0.045 0.297 0.272
O4 O 0.074 0.975 0.782
O5 O 0.110 0.476 0.967
O6 O 0.111 0.793 0.456
O7 O 0.134 0.530 0.523
O8 O 0.143 0.208 0.947
O9 O 0.232 0.815 0.020
O10 O 0.251 0.168 0.561
O11 O 0.400 0.808 0.675
O12 O 0.433 0.161 0.211
O13 O 0.525 0.446 0.744
O14 O 0.526 0.775 0.292
O15 O 0.549 0.175 0.774
O16 O 0.566 0.507 0.272
O17 O 0.584 0.004 0.458
O18 O 0.612 0.672 0.960
O19 O 0.631 0.273 0.452
O20 O 0.644 0.935 0.019
O21 O 0.725 0.658 0.518
O22 O 0.742 0.321 0.037
O23 O 0.904 0.672 0.178
O24 O 0.933 0.317 0.722
# * ΔE_f (raw): -100.49 eV per formula unit

***

# Li2FeBO4 meta-GGA SCAN single point on PBEsol structure
data_Li2FeBO4
_cell_length_a 6.901
_cell_length_b 7.145
_cell_length_c 6.074
_cell_angle_alpha 90.00
_cell_angle_beta 90.00
_cell_angle_gamma 90.00
_symmetry_space_group_name_H-M 'C 2 2 21'
_symmetry_Int_Tables_number 20
_symmetry_space_group_name_Hall 'C 2c 2'
loop_
_atom_site_label
_atom_site_type_symbol
_atom_site_fract_x
_atom_site_fract_y
_atom_site_fract_z
Li1 Li 0.000 0.193 0.250
Li2 Li 0.176 0.500 0.500
Fe1 Fe 0.000 0.183 0.750
B1 B 0.181 0.500 0.000
O1 O 0.051 0.332 0.993
O2 O 0.200 0.006 0.702
# * ΔE_f (raw): -17.83 eV per formula unit

***

# LiFeB2Sb meta-GGA SCAN single point on PBEsol structure
data_LiFeB2Sb
_cell_length_a 4.512
_cell_length_b 4.512
_cell_length_c 4.761
_cell_angle_alpha 90.00
_cell_angle_beta 90.00
_cell_angle_gamma 90.00
_symmetry_space_group_name_H-M 'P 4/m m m'
_symmetry_Int_Tables_number 123
_symmetry_space_group_name_Hall '-P 4 2'
loop_
_atom_site_label
_atom_site_type_symbol
_atom_site_fract_x
_atom_site_fract_y
_atom_site_fract_z
Li1 Li 0.000 0.000 0.000
Fe1 Fe 0.500 0.500 0.000
B1 B 0.000 0.500 0.500
Sb1 Sb 0.500 0.500 0.500
# * ΔE_f (raw): 8.89 eV per formula unit

***

Below is a crystal of LiTi2FeB relaxed with PBEsol, with properties calculated at the meta-GGA SCAN level.

```
data_LiTi2FeB
_cell_length_a 4.377
_cell_length_b 4.377
_cell_length_c 3.867
_cell_angle_alpha 90.00
_cell_angle_beta 90.00
_cell_angle_gamma 90.00
_symmetry_space_group_name_H-M 'P 4/m m m'
_symmetry_Int_Tables_number 123
_symmetry_space_group_name_Hall '-P 4 2'
loop_
_atom_site_label
_atom_site_type_symbol
_atom_site_fract_x
_atom_site_fract_y
_atom_site_fract_z
Li1 Li 0.000 0.000 0.000
Ti1 Ti 0.000 0.500 0.500
Fe1 Fe 0.500 0.500 0.500
B1 B 0.500 0.500 0.000
```

***

Below is a crystal of LuFe2B2 relaxed with PBEsol, with properties calculated at the meta-GGA SCAN level.

```
data_LuFe2B2
_cell_length_a 3.428
_cell_length_b 3.428
_cell_length_c 9.072
_cell_angle_alpha 90.00
_cell_angle_beta 90.00
_cell_angle_gamma 90.00
_symmetry_space_group_name_H-M 'I 4/m m m'
_symmetry_Int_Tables_number 139
_symmetry_space_group_name_Hall '-I 4 2'
loop_
_atom_site_label
_atom_site_type_symbol
_atom_site_fract_x
_atom_site_fract_y
_atom_site_fract_z
Lu1 Lu 0.000 0.000 0.000
Fe1 Fe 0.000 0.500 0.250
B1 B 0.000 0.000 0.385
```

***

Below is a crystal of LuFeB4 relaxed with PBEsol, with properties calculated at the meta-GGA SCAN level.

```
data_LuFeB4
_cell_length_a 5.797
_cell_length_b 11.211
_cell_length_c 3.265
_cell_angle_alpha 90.00
_cell_angle_beta 90.00
_cell_angle_gamma 90.00
_symmetry_space_group_name_H-M 'P b a m'
_symmetry_Int_Tables_number 55
_symmetry_space_group_name_Hall '-P 2 2ab'
loop_
_atom_site_label
_atom_site_type_symbol
_atom_site_fract_x
_atom_site_fract_y
_atom_site_fract_z
Lu1 Lu 0.128 0.150 0.000
Fe1 Fe 0.133 0.411 0.000
B1 B 0.024 0.692 0.500
B2 B 0.112 0.547 0.500
B3 B 0.137 0.968 0.500
B4 B 0.216 0.815 0.500
```

***

Below is a crystal of LuFe4B relaxed with PBEsol, with properties calculated at the meta-GGA SCAN level.

```
data_LuFe4B
_cell_length_a 4.8895
_cell_length_b 4.8895
_cell_length_c 6.9202
_cell_angle_alpha 90.00
_cell_angle_beta 90.00
_cell_angle_gamma 120.00
_symmetry_space_group_name_H-M 'P 6/m m m'
_symmetry_Int_Tables_number 191
_symmetry_space_group_name_Hall '-P 6 2'
loop_
_atom_site_label
_atom_site_type_symbol
_atom_site_fract_x
_atom_site_fract_y
_atom_site_fract_z
Lu1 Lu 0.0000 0.0000 0.0000
Lu2 Lu 0.0000 0.0000 0.5000
Fe1 Fe 0.0000 0.5000 0.2161
Fe2 Fe 0.3333 0.6667 0.5000
B1 B 0.3333 0.6667 0.0000
```

***

Number 1: DFT total energy -28.7045 eV/atom, total magnetization 4.59 μB/cell, V 99.7 Å³/f.u.. Number 2: DFT total energy -39.6996 eV/atom, total magnetization 3.80 μB/cell, V 165.7 Å³/f.u.. Number 3: DFT total energy -24.1521 eV/atom, total magnetization 2.99 μB/cell, V 101.4 Å³/f.u.. Number 4: DFT total energy -13.1981 eV/atom, total magnetization 3.20 μB/cell, V 93.5 Å³/f.u.. Number 5: DFT total energy -22.2798 eV/atom, total magnetization 4.15 μB/cell, V 61.9 Å³/f.u.. Number 6: DFT total energy -25.6416 eV/atom, total magnetization 22.89 μB/cell, V 160.7 Å³/f.u.. Number 7: DFT total energy -40.4120 eV/atom, total magnetization 7.31 μB/cell, V 126.9 Å³/f.u.. Number 8: DFT total energy -30.6017 eV/atom, total magnetization 2.57 μB/cell, V 108.3 Å³/f.u.. Number 9: DFT total energy -14.2018 eV/atom, total magnetization 1.94 μB/cell, V 101.4 Å³/f.u.. Number 10: DFT total energy -11.3111 eV/atom, total magnetization 15.08 μB/cell, V 34.3 Å³/f.u.. Number 11: DFT total energy -10.0583 eV/atom, total magnetization 50.00 μB/cell, V 338.6 Å³/f.u.. Number 12: DFT total energy -9.0620 eV/atom, total magnetization 6.00 μB/cell, V 89.7 Å³/f.u.. Number 13: DFT total energy -8.4402 eV/atom, total magnetization 8.00 μB/cell, V 116.9 Å³/f.u.. Number 14: DFT total energy -8.9666 eV/atom, total magnetization 17.02 μB/cell, V 430.3 Å³/f.u.. Number 15: DFT total energy -9.1372 eV/atom, total magnetization 20.00 μB/cell, V 74.9 Å³/f.u.. Number 16: DFT total energy -12.7499 eV/atom, total magnetization 2.67 μB/cell, V 96.9 Å³/f.u.. Number 17: DFT total energy -11.5344 eV/atom, total magnetization 0.00 μB/cell, V 74.1 Å³/f.u.. Number 18: DFT total energy -21.7811 eV/atom, total magnetization 6.00 μB/cell, V 53.3 Å³/f.u.. Number 19: DFT total energy -17.8807 eV/atom, total magnetization 0.00 μB/cell, V 53.1 Å³/f.u.. Number 20: DFT total energy -22.8063 eV/atom, total magnetization 16.13 μB/cell, V 71.6 Å³/f.u..